! CrP2SO (GGA+U, optimized geometry); values from VASP
&SYSTEM
  ibrav = 0, nat = 5, ntyp = 4
/
ATOMIC_SPECIES
P 30.97 P.upf
S 32.06 S.upf
Cr 52.00 Cr.upf
O 16.00 O.upf
CELL_PARAMETERS angstrom
-0.7077 2.4126 4.0127
-4.6673 -0.6866 -0.4103
0.2656 -2.8618 1.7675
ATOMIC_POSITIONS crystal
P 0.5000 0.0000 0.0000
S 0.0000 0.0000 0.0000
Cr 0.5000 0.5000 0.5000
O 0.0000 0.0000 0.5000
P 0.0000 0.5000 0.0000
! V = 75.7 Å³/f.u.
! density of states at the Fermi level = 2.776 states/eV/f.u.
! electronic total energy = -25.25 eV/cell



! AlTlFe2F2 (GGA+U, optimized geometry); values from VASP
&SYSTEM
  ibrav = 0, nat = 6, ntyp = 4
/
ATOMIC_SPECIES
F 19.00 F.upf
Fe 55.84 Fe.upf
Tl 204.38 Tl.upf
Al 26.98 Al.upf
CELL_PARAMETERS angstrom
-3.7352 0.1421 -3.2379
3.1737 -0.8412 -3.6981
-0.8082 -5.9918 0.6694
ATOMIC_POSITIONS crystal
F 0.0000 0.0000 0.2897
Fe 0.5000 0.0000 0.0000
Fe 0.0000 0.5000 0.0000
Tl 0.5000 0.5000 0.5000
Al 0.0000 0.0000 0.0000
F 0.0000 0.0000 0.7103
! V = 148.8 Å³/f.u.
! density of states at the Fermi level = 1.620 states/eV/f.u.
! electronic total energy = -23.09 eV/cell